BaLi2TeI2: relaxed, GGA-PBE.

```
BaLi2TeI2
1.0
-0.393 5.776 1.994
-6.521 -1.726 3.712
6.623 -1.588 5.906
Ba I Li Te
2 4 4 2
Direct
0.250 0.621 0.252
0.750 0.379 0.748
0.750 0.919 0.599
0.250 0.081 0.401
0.750 0.402 0.329
0.250 0.598 0.671
0.006 0.897 0.834
0.994 0.103 0.166
0.494 0.897 0.834
0.506 0.103 0.166
0.250 0.216 0.947
0.750 0.784 0.053
```

Crystal system ... monoclinic
Space group ... P2_1/m, No. 11
Raw formation energy ... -1333.6 meV/atom
V ... 34.13 Å³ per atom
Calculated total energy ... -20.0 eV/f.u.

BaNd2PuO8: relaxed, GGA-PBE.

```
BaNd2PuO8
1.0
4.284 -0.304 0.000
-0.296 5.475 -0.005
0.002 0.007 7.954
O Nd Ba Pu
8 2 1 1
Direct
0.416 0.217 0.000
0.943 0.236 0.195
0.943 0.237 0.805
0.057 0.763 0.195
0.532 0.298 0.500
0.468 0.702 0.500
0.057 0.764 0.805
0.584 0.783 0.000
0.500 0.500 0.764
0.500 0.500 0.236
0.000 0.000 0.500
0.000 0.000 0.000
```

Crystal system ... monoclinic
Space group ... P2/m, No. 10
Raw formation energy ... -2681.5 meV/atom
V ... 15.49 Å³ per atom
Calculated total energy ... -97.6 eV/f.u.

Sr2PdPt2: relaxed, GGA-PBE.

```
Sr2PdPt2
1.0
-3.397 1.182 1.201
0.645 -1.585 3.384
2.204 7.238 5.094
Sr Pt Pd
2 2 1
Direct
0.607 0.607 0.786
0.393 0.393 0.214
0.250 0.750 0.500
0.750 0.250 0.500
0.000 0.000 0.000
```

Calculated formation energy ... -508 meV/atom
Crystal system ... tetragonal
Space group ... I4/mmm, No. 139
V ... 25.07 Å³ per atom
Energy above the most stable polymorph in this dataset ... 272 meV/atom
Calculated total energy ... -23.2 eV/f.u.